Compound: PrEr6Tm5
Source: Alexandria via LeMat-Bulk
Functional: PBE
Structure: relaxed

Total moment   0.00 μB/cell
Total DFT energy (no corrections)   -4.5181 eV per atom
Density of states at the Fermi level   16.2 states/eV/cell
ρ   8980 kg/m³

Cell lengths 6.086, 6.081, 11.656 Å; angles 85.01, 80.00, 59.98 degrees
Sites, in units of the cell vectors:
Pr (0.000, 0.000, 0.000)
Tm (0.167, 0.666, 0.500)
Tm (0.333, 0.333, 0.000)
Tm (0.500, 0.000, 0.500)
Tm (0.667, 0.667, 0.000)
Tm (0.833, 0.334, 0.500)
Er (0.582, 0.334, 0.252)
Er (0.084, 0.334, 0.748)
Er (0.749, 0.000, 0.748)
Er (0.251, 0.000, 0.252)
Er (0.916, 0.666, 0.252)
Er (0.418, 0.666, 0.748)